Entry w
# VCd3O (GGA+U, optimized geometry)
# - D(E_F): 9.5 states/eV per cell
# - Mass density: 3.932 g/cm³
data_VCd3O
_chemical_formula_sum 'V1 Cd3 O1'
_symmetry_space_group_name_H-M 'P m -3 m'
_symmetry_Int_Tables_number 221
_symmetry_space_group_name_Hall '-P 4 2 3'
_cell_length_a 5.5472
_cell_length_b 5.5472
_cell_length_c 5.5472
_cell_angle_alpha 90.00
_cell_angle_beta 90.00
_cell_angle_gamma 90.00
loop_
_atom_site_label
_atom_site_type_symbol
_atom_site_fract_x
_atom_site_fract_y
_atom_site_fract_z
V1 V 0.0000 0.0000 0.0000
Cd1 Cd 0.0000 0.0000 0.5000
O1 O 0.5000 0.5000 0.5000


Entry x
# VCd3O (GGA+U, optimized geometry)
# - D(E_F): 1.8 states/eV per cell
# - Mass density: 6.650 g/cm³
data_VCd3O
_chemical_formula_sum 'V1 Cd3 O1'
_symmetry_space_group_name_H-M 'P m -3 m'
_symmetry_Int_Tables_number 221
_symmetry_space_group_name_Hall '-P 4 2 3'
_cell_length_a 4.6558
_cell_length_b 4.6558
_cell_length_c 4.6558
_cell_angle_alpha 90.00
_cell_angle_beta 90.00
_cell_angle_gamma 90.00
loop_
_atom_site_label
_atom_site_type_symbol
_atom_site_fract_x
_atom_site_fract_y
_atom_site_fract_z
V1 V 0.0000 0.0000 0.0000
Cd1 Cd 0.0000 0.5000 0.5000
O1 O 0.5000 0.5000 0.5000


Most stable structure among those shown: entry x.